# 1
Material: Hf2FeMoPd
Method: DFT, GGA-PBE
State: optimized geometry

Geometry as extended XYZ:
```
5
Lattice="4.9426 0.0000 0.0000 0.0000 4.9426 0.0000 0.0000 0.0000 4.6673" Properties=species:S:1:pos:R:3 pbc="T T T"
Hf 0.0000 2.4713 0.0000
Hf 2.4713 0.0000 0.0000
Fe 0.0000 0.0000 2.3336
Mo 2.4713 2.4713 2.3336
Pd 2.4713 2.4713 0.0000
```

Energy of formation, meV/atom: 1465
Final energy, eV per atom: -7.41
SG: P4/mmm, No. 123
Magnetic moment, μB/f.u.: 0.5

# 2
Material: HfFeMoRh2
Method: DFT, GGA-PBE
State: optimized geometry

Geometry as extended XYZ:
```
5
Lattice="4.6878 0.0000 0.0000 0.0000 4.6878 0.0000 0.0000 0.0000 4.3098" Properties=species:S:1:pos:R:3 pbc="T T T"
Hf 0.0000 0.0000 0.0000
Fe 2.3439 2.3439 0.0000
Mo 2.3439 2.3439 2.1549
Rh 0.0000 2.3439 2.1549
Rh 2.3439 0.0000 2.1549
```

Energy of formation, meV/atom: 841
Final energy, eV per atom: -7.95
SG: P4/mmm, No. 123
Magnetic moment, μB/f.u.: 1.0